The following is a PBE with a Hubbard U calculation of crystalline Na2Co2SbO6 at its relaxed geometry, from Alexandria.

Cell lengths 5.1789, 5.1789, 5.9552 Å; angles 101.10, 101.10, 115.79 degrees
Positions (direct):
Na 0.1808 0.8192 0.0000
Na 0.8192 0.1808 0.0000
Co 0.3346 0.6654 0.5000
Co 0.6654 0.3346 0.5000
Sb 0.0000 0.0000 0.5000
O 0.0346 0.3808 0.6992
O 0.2658 0.2658 0.3254
O 0.3808 0.0346 0.6992
O 0.6192 0.9654 0.3008
O 0.7342 0.7342 0.6746
O 0.9654 0.6192 0.3008

Calculated values
Space group: C2/m, No. 12
Raw total energy: -61.06 eV/f.u.